No. 1
SnTe2AsN | PBE | relaxed

Values from the calculation:
- Uncorrected formation energy: 0.6261 eV/atom
- Electronic total energy: -20.131 eV per cell

Geometry as CIF:
```
data_SnTe2AsN
_symmetry_space_group_name_H-M 'P 4/m m m'
_symmetry_Int_Tables_number 123
_symmetry_space_group_name_Hall '-P 4 2'
_cell_length_a 5.872
_cell_length_b 5.872
_cell_length_c 3.652
_cell_angle_alpha 90.00
_cell_angle_beta 90.00
_cell_angle_gamma 90.00
loop_
_atom_site_label
_atom_site_type_symbol
_atom_site_fract_x
_atom_site_fract_y
_atom_site_fract_z
Sn1 Sn 0.000 0.000 0.000
Te1 Te 0.000 0.500 0.500
As1 As 0.500 0.500 0.500
N1 N 0.500 0.500 0.000
```

***

No. 2
LaMg9Rh3 | PBE | relaxed

Values from the calculation:
- ΔH_f (0 K): -308 meV/atom
- Electronic total energy: -90.667 eV per cell

Geometry as CIF:
```
data_LaMg9Rh3
_symmetry_space_group_name_H-M 'C 1 2/m 1'
_symmetry_Int_Tables_number 12
_cell_length_a 5.711
_cell_length_b 13.611
_cell_length_c 7.307
_cell_angle_alpha 90.00
_cell_angle_beta 112.82
_cell_angle_gamma 90.00
loop_
_symmetry_equiv_pos_as_xyz
'x,y,z'
'-x,-y,-z'
'-x,y,-z'
'x,-y,z'
'x+1/2,y+1/2,z'
'-x+1/2,-y+1/2,-z'
'-x+1/2,y+1/2,-z'
'x+1/2,-y+1/2,z'
loop_
_atom_site_label
_atom_site_type_symbol
_atom_site_fract_x
_atom_site_fract_y
_atom_site_fract_z
La1 La 0.000 0.000 0.000
Mg1 Mg 0.000 0.500 0.500
Mg2 Mg 0.118 0.386 0.213
Mg3 Mg 0.149 0.177 0.325
Rh1 Rh 0.000 0.000 0.500
Rh2 Rh 0.250 0.250 0.000
```

***

No. 3
KBe2Pt | PBE | relaxed

Values from the calculation:
- ΔH_f (0 K): 860 meV/atom
- Electronic total energy: -11.153 eV per cell

Geometry as CIF:
```
data_KBe2Pt
_symmetry_space_group_name_H-M 'P m m m'
_symmetry_Int_Tables_number 47
_cell_length_a 2.741
_cell_length_b 4.693
_cell_length_c 5.203
_cell_angle_alpha 90.00
_cell_angle_beta 90.00
_cell_angle_gamma 90.00
loop_
_symmetry_equiv_pos_as_xyz
'x,y,z'
'-x,-y,-z'
'-x,-y,z'
'x,y,-z'
'x,-y,-z'
'-x,y,z'
'-x,y,-z'
'x,-y,z'
loop_
_atom_site_label
_atom_site_type_symbol
_atom_site_fract_x
_atom_site_fract_y
_atom_site_fract_z
K1 K 0.000 0.000 0.000
Be1 Be 0.000 0.500 0.500
Be2 Be 0.500 0.500 0.000
Pt1 Pt 0.500 0.000 0.500
```

***

No. 4
CaAsPd | PBE | relaxed

Values from the calculation:
- ΔH_f (0 K): -955 meV/atom
- Electronic total energy: -58.834 eV per cell

Geometry as CIF:
```
data_CaAsPd
_symmetry_space_group_name_H-M 'P n m a'
_symmetry_Int_Tables_number 62
_cell_length_a 7.153
_cell_length_b 4.387
_cell_length_c 7.682
_cell_angle_alpha 90.00
_cell_angle_beta 90.00
_cell_angle_gamma 90.00
loop_
_symmetry_equiv_pos_as_xyz
'x,y,z'
'-x,-y,-z'
'-x+1/2,-y,z+1/2'
'x+1/2,y,-z+1/2'
'x+1/2,-y+1/2,-z+1/2'
'-x+1/2,y+1/2,z+1/2'
'-x,y+1/2,-z'
'x,-y+1/2,z'
loop_
_atom_site_label
_atom_site_type_symbol
_atom_site_fract_x
_atom_site_fract_y
_atom_site_fract_z
Ca1 Ca 0.003 0.250 0.200
As1 As 0.204 0.750 0.402
Pd1 Pd 0.180 0.250 0.577
```

***

No. 5
NiRh3 | PBE | relaxed

Values from the calculation:
- ΔH_f (0 K): 285 meV/atom
- Electronic total energy: -53.391 eV per cell

Geometry as CIF:
```
data_NiRh3
_symmetry_space_group_name_H-M 'P m -3 n'
_symmetry_Int_Tables_number 223
_symmetry_space_group_name_Hall '-P 4n 2 3'
_cell_length_a 4.827
_cell_length_b 4.827
_cell_length_c 4.827
_cell_angle_alpha 90.00
_cell_angle_beta 90.00
_cell_angle_gamma 90.00
loop_
_atom_site_label
_atom_site_type_symbol
_atom_site_fract_x
_atom_site_fract_y
_atom_site_fract_z
Ni1 Ni 0.000 0.000 0.000
Rh1 Rh 0.000 0.250 0.500
```

***

No. 6
CaCu2TeI | PBE | relaxed

Values from the calculation:
- Uncorrected formation energy: 0.0362 eV/atom
- Electronic total energy: -14.705 eV per cell

Geometry as CIF:
```
data_CaCu2TeI
_symmetry_space_group_name_H-M 'P 4/m m m'
_symmetry_Int_Tables_number 123
_symmetry_space_group_name_Hall '-P 4 2'
_cell_length_a 4.805
_cell_length_b 4.805
_cell_length_c 8.041
_cell_angle_alpha 90.00
_cell_angle_beta 90.00
_cell_angle_gamma 90.00
loop_
_atom_site_label
_atom_site_type_symbol
_atom_site_fract_x
_atom_site_fract_y
_atom_site_fract_z
Ca1 Ca 0.000 0.000 0.000
Cu1 Cu 0.000 0.500 0.500
Te1 Te 0.500 0.500 0.500
I1 I 0.500 0.500 0.000
```

***

No. 7
RbMnCr2Ru | PBE | relaxed

Values from the calculation:
- ΔH_f (0 K): 2226 meV/atom
- Electronic total energy: -27.531 eV per cell

Geometry as CIF:
```
data_RbMnCr2Ru
_symmetry_space_group_name_H-M 'P 4/m m m'
_symmetry_Int_Tables_number 123
_symmetry_space_group_name_Hall '-P 4 2'
_cell_length_a 4.248
_cell_length_b 4.248
_cell_length_c 5.063
_cell_angle_alpha 90.00
_cell_angle_beta 90.00
_cell_angle_gamma 90.00
loop_
_atom_site_label
_atom_site_type_symbol
_atom_site_fract_x
_atom_site_fract_y
_atom_site_fract_z
Rb1 Rb 0.000 0.000 0.000
Mn1 Mn 0.000 0.000 0.500
Cr1 Cr 0.000 0.500 0.500
Ru1 Ru 0.500 0.500 0.000
```

***

No. 8
PrSm3Ga3 | PBE | relaxed

Values from the calculation:
- ΔH_f (0 K): -421 meV/atom
- Electronic total energy: -61.936 eV per cell

Geometry as CIF:
```
data_PrSm3Ga3
_symmetry_space_group_name_H-M 'P 63/m'
_symmetry_Int_Tables_number 176
_symmetry_space_group_name_Hall '-P 6c'
_cell_length_a 9.4797
_cell_length_b 9.4797
_cell_length_c 4.8255
_cell_angle_alpha 90.00
_cell_angle_beta 90.00
_cell_angle_gamma 120.00
loop_
_atom_site_label
_atom_site_type_symbol
_atom_site_fract_x
_atom_site_fract_y
_atom_site_fract_z
Pr1 Pr 0.3333 0.6667 0.2500
Sm1 Sm 0.0221 0.2611 0.7500
Ga1 Ga 0.0565 0.6053 0.7500
```

***

No. 9
SrYBr2 | PBE | relaxed

Values from the calculation:
- Uncorrected formation energy: -0.9289 eV/atom
- Electronic total energy: -30.414 eV per cell

Geometry as CIF:
```
data_SrYBr2
_symmetry_space_group_name_H-M 'I -4 m 2'
_symmetry_Int_Tables_number 119
_symmetry_space_group_name_Hall 'I -4 -2'
_cell_length_a 4.285
_cell_length_b 4.285
_cell_length_c 14.531
_cell_angle_alpha 90.00
_cell_angle_beta 90.00
_cell_angle_gamma 90.00
loop_
_atom_site_label
_atom_site_type_symbol
_atom_site_fract_x
_atom_site_fract_y
_atom_site_fract_z
Sr1 Sr 0.000 0.000 0.000
Y1 Y 0.000 0.500 0.250
Br1 Br 0.000 0.000 0.500
Br2 Br 0.000 0.500 0.750
```

***

No. 10
NaBi2F6 | PBE | relaxed

Values from the calculation:
- Uncorrected formation energy: -2.2823 eV/atom
- Electronic total energy: -81.698 eV per cell

Geometry as CIF:
```
data_NaBi2F6
_symmetry_space_group_name_H-M 'P 42/m n m'
_symmetry_Int_Tables_number 136
_symmetry_space_group_name_Hall '-P 4n 2n'
_cell_length_a 5.258
_cell_length_b 5.258
_cell_length_c 11.714
_cell_angle_alpha 90.00
_cell_angle_beta 90.00
_cell_angle_gamma 90.00
loop_
_atom_site_label
_atom_site_type_symbol
_atom_site_fract_x
_atom_site_fract_y
_atom_site_fract_z
Na1 Na 0.000 0.000 0.000
Bi1 Bi 0.000 0.000 0.335
F1 F 0.179 0.179 0.500
F2 F 0.190 0.190 0.161
```

***

No. 11
UP2O7 | PBE | relaxed

Values from the calculation:
- Uncorrected formation energy: -2.5515 eV/atom
- Electronic total energy: -329.323 eV per cell

Geometry as CIF:
```
data_UP2O7
_symmetry_space_group_name_H-M 'P c a 21'
_symmetry_Int_Tables_number 29
_cell_length_a 8.815
_cell_length_b 8.859
_cell_length_c 8.824
_cell_angle_alpha 90.00
_cell_angle_beta 90.00
_cell_angle_gamma 90.00
loop_
_symmetry_equiv_pos_as_xyz
'x,y,z'
'-x,-y,z+1/2'
'-x+1/2,y,z+1/2'
'x+1/2,-y,z'
loop_
_atom_site_label
_atom_site_type_symbol
_atom_site_fract_x
_atom_site_fract_y
_atom_site_fract_z
U1 U 0.008 0.243 0.000
P1 P 0.093 0.359 0.600
P2 P 0.110 0.845 0.899
O1 O 0.043 0.817 0.742
O2 O 0.045 0.719 0.011
O3 O 0.063 0.327 0.768
O4 O 0.066 0.000 0.961
O5 O 0.078 0.527 0.563
O6 O 0.219 0.820 0.405
O7 O 0.243 0.292 0.547
```

***

No. 12
NaNi2SnN | PBE | relaxed

Values from the calculation:
- Uncorrected formation energy: 0.3263 eV/atom
- Electronic total energy: -23.578 eV per cell

Geometry as CIF:
```
data_NaNi2SnN
_symmetry_space_group_name_H-M 'P 4/m m m'
_symmetry_Int_Tables_number 123
_symmetry_space_group_name_Hall '-P 4 2'
_cell_length_a 3.890
_cell_length_b 3.890
_cell_length_c 4.962
_cell_angle_alpha 90.00
_cell_angle_beta 90.00
_cell_angle_gamma 90.00
loop_
_atom_site_label
_atom_site_type_symbol
_atom_site_fract_x
_atom_site_fract_y
_atom_site_fract_z
Na1 Na 0.000 0.000 0.000
Ni1 Ni 0.000 0.500 0.500
Sn1 Sn 0.500 0.500 0.000
N1 N 0.500 0.500 0.500
```

***

No. 13
Sr8HN4 | PBE | relaxed

Values from the calculation:
- Electronic total energy: -226.858 eV per cell

Geometry as CIF:
```
data_Sr8HN4
_symmetry_space_group_name_H-M 'F -4 3 m'
_symmetry_Int_Tables_number 216
_symmetry_space_group_name_Hall 'F -4 2 3'
_cell_length_a 11.107
_cell_length_b 11.107
_cell_length_c 11.107
_cell_angle_alpha 90.00
_cell_angle_beta 90.00
_cell_angle_gamma 90.00
loop_
_atom_site_label
_atom_site_type_symbol
_atom_site_fract_x
_atom_site_fract_y
_atom_site_fract_z
Sr1 Sr 0.111 0.111 0.389
Sr2 Sr 0.137 0.137 0.863
H1 H 0.000 0.000 0.000
N1 N 0.125 0.125 0.625
```

***

No. 14
InRe2Sn | PBE | relaxed

Values from the calculation:
- ΔH_f (0 K): 1268 meV/atom
- Electronic total energy: -106.263 eV per cell

Geometry as CIF:
```
data_InRe2Sn
_symmetry_space_group_name_H-M 'I -4 2 d'
_symmetry_Int_Tables_number 122
_symmetry_space_group_name_Hall 'I -4 2bw'
_cell_length_a 7.609
_cell_length_b 7.609
_cell_length_c 5.496
_cell_angle_alpha 90.00
_cell_angle_beta 90.00
_cell_angle_gamma 90.00
loop_
_atom_site_label
_atom_site_type_symbol
_atom_site_fract_x
_atom_site_fract_y
_atom_site_fract_z
In1 In 0.000 0.000 0.000
Re1 Re 0.239 0.750 0.625
Sn1 Sn 0.000 0.000 0.500
```

***

No. 15
TiCr3Te8 | PBE | relaxed

Values from the calculation:
- Uncorrected formation energy: -0.3043 eV/atom
- Electronic total energy: -131.101 eV per cell

Geometry as CIF:
```
data_TiCr3Te8
_symmetry_space_group_name_H-M 'C 1 2/m 1'
_symmetry_Int_Tables_number 12
_cell_length_a 12.860
_cell_length_b 7.428
_cell_length_c 8.254
_cell_angle_alpha 90.00
_cell_angle_beta 121.21
_cell_angle_gamma 90.00
loop_
_symmetry_equiv_pos_as_xyz
'x,y,z'
'-x,-y,-z'
'-x,y,-z'
'x,-y,z'
'x+1/2,y+1/2,z'
'-x+1/2,-y+1/2,-z'
'-x+1/2,y+1/2,-z'
'x+1/2,-y+1/2,z'
loop_
_atom_site_label
_atom_site_type_symbol
_atom_site_fract_x
_atom_site_fract_y
_atom_site_fract_z
Ti1 Ti 0.000 0.000 0.000
Cr1 Cr 0.000 0.500 0.000
Cr2 Cr 0.250 0.250 0.000
Te1 Te 0.005 0.255 0.760
Te2 Te 0.244 0.500 0.232
Te3 Te 0.250 0.000 0.240
```

***

No. 16
HfZr3Os | PBE | relaxed

Values from the calculation:
- ΔH_f (0 K): 1656 meV/atom
- Electronic total energy: -38.546 eV per cell

Geometry as CIF:
```
data_HfZr3Os
_symmetry_space_group_name_H-M 'P m -3 m'
_symmetry_Int_Tables_number 221
_symmetry_space_group_name_Hall '-P 4 2 3'
_cell_length_a 4.976
_cell_length_b 4.976
_cell_length_c 4.976
_cell_angle_alpha 90.00
_cell_angle_beta 90.00
_cell_angle_gamma 90.00
loop_
_atom_site_label
_atom_site_type_symbol
_atom_site_fract_x
_atom_site_fract_y
_atom_site_fract_z
Hf1 Hf 0.000 0.000 0.000
Zr1 Zr 0.000 0.000 0.500
Os1 Os 0.500 0.500 0.500
```

***

No. 17
NaGeSe3 | PBE | relaxed

Values from the calculation:
- Uncorrected formation energy: 0.6705 eV/atom
- Electronic total energy: -13.038 eV per cell

Geometry as CIF:
```
data_NaGeSe3
_symmetry_space_group_name_H-M 'P m -3 m'
_symmetry_Int_Tables_number 221
_symmetry_space_group_name_Hall '-P 4 2 3'
_cell_length_a 5.117
_cell_length_b 5.117
_cell_length_c 5.117
_cell_angle_alpha 90.00
_cell_angle_beta 90.00
_cell_angle_gamma 90.00
loop_
_atom_site_label
_atom_site_type_symbol
_atom_site_fract_x
_atom_site_fract_y
_atom_site_fract_z
Na1 Na 0.000 0.000 0.000
Ge1 Ge 0.500 0.500 0.500
Se1 Se 0.000 0.000 0.500
```

***

No. 18
Ba2MgPaSe5 | PBE | relaxed

Values from the calculation:
- Uncorrected formation energy: -1.6580 eV/atom
- Electronic total energy: -189.122 eV per cell

Geometry as CIF:
```
data_Ba2MgPaSe5
_symmetry_space_group_name_H-M 'C m c 21'
_symmetry_Int_Tables_number 36
_cell_length_a 4.376
_cell_length_b 18.789
_cell_length_c 13.529
_cell_angle_alpha 90.00
_cell_angle_beta 90.00
_cell_angle_gamma 90.00
loop_
_symmetry_equiv_pos_as_xyz
'x,y,z'
'-x,-y,z+1/2'
'-x,y,z'
'x,-y,z+1/2'
'x+1/2,y+1/2,z'
'-x+1/2,-y+1/2,z+1/2'
'-x+1/2,y+1/2,z'
'x+1/2,-y+1/2,z+1/2'
loop_
_atom_site_label
_atom_site_type_symbol
_atom_site_fract_x
_atom_site_fract_y
_atom_site_fract_z
Ba1 Ba 0.000 0.108 0.000
Ba2 Ba 0.000 0.126 0.628
Mg1 Mg 0.000 0.447 0.760
Pa1 Pa 0.000 0.208 0.333
Se1 Se 0.000 0.057 0.364
Se2 Se 0.000 0.286 0.973
Se3 Se 0.000 0.308 0.691
Se4 Se 0.000 0.357 0.318
Se5 Se 0.000 0.498 0.091
```

***

No. 19
KBa2AcO4 | PBE | relaxed

Values from the calculation:
- Uncorrected formation energy: -2.4491 eV/atom
- Electronic total energy: -48.477 eV per cell

Geometry as CIF:
```
data_KBa2AcO4
_symmetry_space_group_name_H-M 'P 1 2/m 1'
_symmetry_Int_Tables_number 10
_cell_length_a 6.686
_cell_length_b 3.934
_cell_length_c 6.698
_cell_angle_alpha 90.00
_cell_angle_beta 108.19
_cell_angle_gamma 90.00
loop_
_symmetry_equiv_pos_as_xyz
'x,y,z'
'-x,-y,-z'
'-x,y,-z'
'x,-y,z'
loop_
_atom_site_label
_atom_site_type_symbol
_atom_site_fract_x
_atom_site_fract_y
_atom_site_fract_z
K1 K 0.000 0.000 0.000
Ba1 Ba 0.000 0.500 0.500
Ba2 Ba 0.500 0.000 0.500
Ac1 Ac 0.500 0.500 0.000
O1 O 0.272 0.000 0.767
O2 O 0.283 0.500 0.247
```

***

No. 20
ErPaTcGe | PBE | relaxed

Values from the calculation:
- ΔH_f (0 K): -182 meV/atom
- Electronic total energy: -119.081 eV per cell

Geometry as CIF:
```
data_ErPaTcGe
_symmetry_space_group_name_H-M 'F -4 3 m'
_symmetry_Int_Tables_number 216
_symmetry_space_group_name_Hall 'F -4 2 3'
_cell_length_a 6.974
_cell_length_b 6.974
_cell_length_c 6.974
_cell_angle_alpha 90.00
_cell_angle_beta 90.00
_cell_angle_gamma 90.00
loop_
_atom_site_label
_atom_site_type_symbol
_atom_site_fract_x
_atom_site_fract_y
_atom_site_fract_z
Er1 Er 0.000 0.000 0.000
Pa1 Pa 0.000 0.000 0.500
Tc1 Tc 0.250 0.250 0.250
Ge1 Ge 0.250 0.250 0.750
```

***

| no. | size of the total moment (μB per cell) |
| --- | --- |
| 1 | 0.00 |
| 2 | 0.00 |
| 3 | 0.00 |
| 4 | 0.00 |
| 5 | 5.44 |
| 6 | 0.00 |
| 7 | 0.00 |
| 8 | 0.00 |
| 9 | 0.00 |
| 10 | 2.03 |
| 11 | 8.00 |
| 12 | 0.00 |
| 13 | 4.05 |
| 14 | 6.27 |
| 15 | 14.32 |
| 16 | 0.00 |
| 17 | 1.77 |
| 18 | 4.00 |
| 19 | 0.00 |
| 20 | 0.00 |